# 1
Density functional theory data (GGA-PBE) for a geometry-optimized Na3GaSn structure.

Computed properties:
Formation enthalpy at 0 K = 0.32 eV per atom
Crystal system = cubic
Energy above the most stable polymorph in this dataset = 0.4192 eV/atom
Space group = Pm-3m (221)

a = 5.497 Å, b = 5.497 Å, c = 5.497 Å
α = 90.00°, β = 90.00°, γ = 90.00°
Fractional coordinates of all 5 atoms:
Sn1 0.500 0.500 0.500
Na1 0.000 0.500 0.000
Ga1 0.000 0.000 0.000
Na2 0.000 0.000 0.500
Na3 0.500 0.000 0.000



# 2
Density functional theory data (GGA-PBE) for a geometry-optimized Na3GaSn structure.

Computed properties:
Formation enthalpy at 0 K = -0.03 eV per atom
Crystal system = monoclinic
Energy above the most stable polymorph in this dataset = 0.0699 eV/atom
Space group = C2/m (12)

a = 7.469 Å, b = 7.469 Å, c = 7.432 Å
α = 108.78°, β = 121.35°, γ = 99.33°
Fractional coordinates of all 10 atoms:
Na1 0.777 0.584 0.765
Ga1 0.645 0.766 0.411
Sn1 0.305 0.922 0.227
Na2 0.223 0.416 0.235
Na3 0.819 0.011 0.235
Na4 0.181 0.989 0.765
Na5 0.731 0.441 0.172
Na6 0.269 0.559 0.828
Sn2 0.695 0.078 0.773
Ga2 0.355 0.234 0.589



# 3
Density functional theory data (GGA-PBE) for a geometry-optimized NaGaSn2 structure.

Computed properties:
Formation enthalpy at 0 K = -0.08 eV per atom
Crystal system = tetragonal
Space group = P4/mmm (123)

a = 4.723 Å, b = 4.552 Å, c = 4.552 Å
α = 90.00°, β = 90.00°, γ = 90.00°
Fractional coordinates of all 4 atoms:
Sn1 0.000 0.500 0.000
Sn2 0.000 0.000 0.500
Na1 0.500 0.000 0.000
Ga1 0.500 0.500 0.500



# 4
Density functional theory data (GGA-PBE) for a geometry-optimized NaGa6Sn2 structure.

Computed properties:
Formation enthalpy at 0 K = 0.01 eV per atom
Crystal system = tetragonal
Energy above the most stable polymorph in this dataset = 0.0000 eV/atom
Space group = P4/mmm (123)

a = 4.034 Å, b = 4.034 Å, c = 12.335 Å
α = 90.00°, β = 90.00°, γ = 90.00°
Fractional coordinates of all 9 atoms:
Ga1 0.500 0.000 0.685
Sn1 0.500 0.500 0.862
Ga2 0.500 0.000 0.315
Sn2 0.500 0.500 0.138
Ga3 0.000 0.500 0.315
Ga4 0.000 0.500 0.685
Ga5 0.500 0.500 0.500
Na1 0.000 0.000 0.000
Ga6 0.000 0.000 0.500



# 5
Density functional theory data (GGA-PBE) for a geometry-optimized Na2GaSn6 structure.

Computed properties:
Formation enthalpy at 0 K = -0.04 eV per atom
Crystal system = monoclinic
Energy above the most stable polymorph in this dataset = 0.0353 eV/atom
Space group = C2/m (12)

a = 8.005 Å, b = 6.419 Å, c = 10.541 Å
α = 90.00°, β = 73.92°, γ = 90.00°
Fractional coordinates of all 18 atoms:
Ga1 0.500 0.500 0.000
Sn1 0.038 0.000 0.776
Sn2 0.702 0.745 0.474
Sn3 0.798 0.755 0.026
Sn4 0.798 0.245 0.026
Sn5 0.202 0.755 0.974
Sn6 0.298 0.255 0.526
Na1 0.408 0.000 0.209
Sn7 0.538 0.500 0.276
Sn8 0.298 0.745 0.526
Sn9 0.462 0.500 0.724
Ga2 0.000 0.000 0.500
Na2 0.092 0.500 0.291
Na3 0.908 0.500 0.709
Sn10 0.962 0.000 0.224
Sn11 0.702 0.255 0.474
Na4 0.592 0.000 0.791
Sn12 0.202 0.245 0.974



# 6
Density functional theory data (GGA-PBE) for a geometry-optimized NaGa2Sn3 structure.

Computed properties:
Formation enthalpy at 0 K = -0.04 eV per atom
Crystal system = monoclinic
Space group = C2/m (12)

a = 4.395 Å, b = 8.560 Å, c = 9.585 Å
α = 62.40°, β = 76.75°, γ = 75.12°
Fractional coordinates of all 12 atoms:
Ga1 0.808 0.712 0.673
Ga2 0.192 0.288 0.327
Sn1 0.684 0.517 0.116
Na1 0.868 0.127 0.136
Ga3 0.511 0.851 0.128
Ga4 0.489 0.149 0.872
Sn2 0.659 0.119 0.564
Sn3 0.316 0.483 0.884
Na2 0.132 0.873 0.864
Sn4 0.002 0.664 0.331
Sn5 0.341 0.881 0.436
Sn6 0.998 0.336 0.669



# 7
Density functional theory data (GGA-PBE) for a geometry-optimized Na3Ga4Sn2 structure.

Computed properties:
Formation enthalpy at 0 K = -0.07 eV per atom
Crystal system = triclinic
Energy above the most stable polymorph in this dataset = 0.0508 eV/atom
Space group = P-1 (2)

a = 4.774 Å, b = 6.363 Å, c = 8.830 Å
α = 67.82°, β = 74.80°, γ = 68.14°
Fractional coordinates of all 9 atoms:
Sn1 0.727 0.293 0.256
Ga1 0.324 0.311 0.038
Na1 0.000 0.000 0.000
Ga2 0.911 0.521 0.648
Ga3 0.676 0.689 0.962
Ga4 0.089 0.479 0.352
Na2 0.595 0.150 0.653
Sn2 0.273 0.707 0.744
Na3 0.405 0.850 0.347



# 8
Density functional theory data (GGA-PBE) for a geometry-optimized NaGa3Sn3 structure.

Computed properties:
Formation enthalpy at 0 K = 0.05 eV per atom
Crystal system = trigonal
Energy above the most stable polymorph in this dataset = 0.0176 eV/atom
Space group = R-3 (148)

a = 8.267 Å, b = 8.267 Å, c = 7.979 Å
α = 58.80°, β = 58.80°, γ = 60.00°
Fractional coordinates of all 14 atoms:
Ga1 0.577 0.913 0.260
Sn1 0.419 0.765 0.724
Ga2 0.249 0.577 0.260
Na1 0.667 0.667 0.000
Ga3 0.751 0.423 0.740
Ga4 0.913 0.249 0.260
Na2 0.333 0.333 0.000
Sn2 0.765 0.093 0.724
Sn3 0.907 0.581 0.276
Sn4 0.581 0.235 0.276
Ga5 0.423 0.087 0.740
Sn5 0.093 0.419 0.724
Ga6 0.087 0.751 0.740
Sn6 0.235 0.907 0.276



# 9
Density functional theory data (GGA-PBE) for a geometry-optimized Na2GaSn6 structure.

Computed properties:
Formation enthalpy at 0 K = -0.08 eV per atom
Crystal system = monoclinic
Energy above the most stable polymorph in this dataset = 0.0000 eV/atom
Space group = C2/m (12)

a = 6.089 Å, b = 6.894 Å, c = 6.894 Å
α = 60.00°, β = 90.06°, γ = 90.06°
Fractional coordinates of all 9 atoms:
Sn1 0.681 0.179 0.179
Ga1 0.000 0.000 0.000
Na1 0.834 0.667 0.667
Sn2 0.319 0.821 0.821
Sn3 0.320 0.821 0.359
Sn4 0.680 0.641 0.179
Na2 0.166 0.333 0.333
Sn5 0.680 0.179 0.641
Sn6 0.320 0.359 0.821



# 10
Density functional theory data (GGA-PBE) for a geometry-optimized NaGa3Sn3 structure.

Computed properties:
Formation enthalpy at 0 K = 0.03 eV per atom
Crystal system = monoclinic
Energy above the most stable polymorph in this dataset = 0.0000 eV/atom
Space group = P2_1/m (11)

a = 4.383 Å, b = 10.983 Å, c = 10.988 Å
α = 120.06°, β = 90.00°, γ = 90.00°
Fractional coordinates of all 14 atoms:
Ga1 0.750 0.914 0.330
Ga2 0.750 0.415 0.086
Sn1 0.750 0.669 0.080
Sn2 0.250 0.331 0.920
Ga3 0.250 0.329 0.415
Sn3 0.250 0.080 0.411
Ga4 0.250 0.585 0.914
Ga5 0.250 0.086 0.670
Na1 0.250 0.667 0.333
Ga6 0.750 0.671 0.585
Sn4 0.750 0.920 0.589
Sn5 0.250 0.589 0.669
Sn6 0.750 0.411 0.331
Na2 0.750 0.333 0.667



# 11
Density functional theory data (GGA-PBE) for a geometry-optimized Na3Ga4Sn2 structure.

Computed properties:
Formation enthalpy at 0 K = -0.12 eV per atom
Crystal system = monoclinic
Energy above the most stable polymorph in this dataset = 0.0000 eV/atom
Space group = C2/m (12)

a = 4.699 Å, b = 5.830 Å, c = 9.287 Å
α = 69.82°, β = 75.34°, γ = 66.23°
Fractional coordinates of all 9 atoms:
Sn1 0.428 0.898 0.246
Ga1 0.996 0.645 0.363
Ga2 0.304 0.385 0.007
Na1 0.305 0.752 0.637
Sn2 0.572 0.102 0.754
Ga3 0.004 0.355 0.637
Na2 0.000 0.000 0.000
Ga4 0.696 0.615 0.993
Na3 0.695 0.248 0.363



# 12
Density functional theory data (GGA-PBE) for a geometry-optimized Na3GaSn structure.

Computed properties:
Formation enthalpy at 0 K = -0.10 eV per atom
Crystal system = monoclinic
Energy above the most stable polymorph in this dataset = 0.0000 eV/atom
Space group = P2_1/m (11)

a = 4.363 Å, b = 7.250 Å, c = 8.395 Å
α = 89.35°, β = 90.00°, γ = 90.00°
Fractional coordinates of all 10 atoms:
Na1 0.124 0.493 0.664
Sn1 0.624 0.183 0.800
Na2 0.124 0.290 0.089
Sn2 0.124 0.916 0.847
Ga1 0.624 0.439 0.341
Ga2 0.124 0.659 0.306
Na3 0.624 0.809 0.559
Na4 0.624 0.964 0.175
Na5 0.124 0.134 0.473
Na6 0.624 0.606 0.983